[1]
DFT (PBE-GGA) results for SmNpMn after structural relaxation. Values from VASP.

Calculated values
**Formation enthalpy at 0 K**: 0.52 eV per atom
**SG**: C2/m, No. 12

Structure (Quantum ESPRESSO input):
```
&SYSTEM
  ibrav = 0, nat = 6, ntyp = 3
/
ATOMIC_SPECIES
Sm 150.36 Sm.upf
Np 237.00 Np.upf
Mn 54.94 Mn.upf
ATOMIC_POSITIONS crystal
Sm 0.221 0.442 0.876
Sm 0.779 0.558 0.124
Np 0.642 0.283 0.623
Np 0.358 0.717 0.377
Mn 0.144 0.287 0.399
Mn 0.856 0.713 0.601
CELL_PARAMETERS angstrom
-2.246 1.803 1.069
-0.676 -4.377 1.550
9.912 10.354 3.359
```

***

[2]
DFT (PBE-GGA) results for Tb6Zn5Cu after structural relaxation. Values from VASP.

Calculated values
**Formation enthalpy at 0 K**: -0.32 eV per atom
**SG**: Cmmm, No. 65

Structure (Quantum ESPRESSO input):
```
&SYSTEM
  ibrav = 0, nat = 12, ntyp = 3
/
ATOMIC_SPECIES
Tb 158.93 Tb.upf
Zn 65.41 Zn.upf
Cu 63.55 Cu.upf
ATOMIC_POSITIONS crystal
Tb 0.835 0.751 0.330
Tb 0.165 0.249 0.670
Tb 0.500 0.753 0.000
Tb 0.835 0.249 0.330
Tb 0.165 0.751 0.670
Tb 0.500 0.247 0.000
Zn 0.669 0.500 0.663
Zn 0.000 0.500 0.000
Zn 0.329 0.000 0.341
Zn 0.331 0.500 0.337
Zn 0.671 0.000 0.659
Cu 0.000 0.000 0.000
CELL_PARAMETERS angstrom
-4.146 0.308 2.839
-2.729 -5.695 -3.367
1.102 -4.401 6.550
```

***

[3]
DFT (PBE-GGA) results for Ta2CrRe after structural relaxation. Values from VASP.

Calculated values
**Formation enthalpy at 0 K**: -0.08 eV per atom
**SG**: Pm, No. 6

Structure (Quantum ESPRESSO input):
```
&SYSTEM
  ibrav = 0, nat = 4, ntyp = 3
/
ATOMIC_SPECIES
Ta 180.95 Ta.upf
Re 186.21 Re.upf
Cr 52.00 Cr.upf
ATOMIC_POSITIONS crystal
Ta 0.500 0.263 0.261
Ta 0.000 0.991 0.992
Re 0.500 0.745 0.749
Cr 0.000 0.502 0.498
CELL_PARAMETERS angstrom
-0.726 -3.277 -2.878
1.901 1.106 -1.739
4.295 -2.390 1.638
```

***

[4]
DFT (PBE-GGA) results for InH2Rh2 after structural relaxation. Values from VASP.

Calculated values
**SG**: P4/mbm, No. 127
**Offset from the most stable computed form**: 0.707 eV/f.u.

Structure (Quantum ESPRESSO input):
```
&SYSTEM
  ibrav = 0, nat = 10, ntyp = 3
/
ATOMIC_SPECIES
H 1.01 H.upf
In 114.82 In.upf
Rh 102.91 Rh.upf
ATOMIC_POSITIONS crystal
H 0.590 0.090 0.000
H 0.410 0.910 0.000
H 0.090 0.410 0.000
H 0.910 0.590 0.000
In 0.000 0.000 0.000
In 0.500 0.500 0.000
Rh 0.166 0.334 0.500
Rh 0.666 0.166 0.500
Rh 0.834 0.666 0.500
Rh 0.334 0.834 0.500
CELL_PARAMETERS angstrom
6.064 0.000 0.000
0.000 6.064 0.000
0.000 0.000 3.154
```

***

[5]
DFT (PBE-GGA) results for La4DyIn after structural relaxation. Values from VASP.

Calculated values
**Formation enthalpy at 0 K**: -0.16 eV per atom
**SG**: P2_1/m, No. 11
**Offset from the most stable computed form**: 0.000 eV/f.u.

Structure (Quantum ESPRESSO input):
```
&SYSTEM
  ibrav = 0, nat = 12, ntyp = 3
/
ATOMIC_SPECIES
La 138.91 La.upf
Dy 162.50 Dy.upf
In 114.82 In.upf
ATOMIC_POSITIONS crystal
La 0.511 0.250 0.994
La 0.000 0.500 0.000
La 0.778 0.501 0.346
La 0.222 0.499 0.654
La 0.778 0.999 0.346
La 0.000 0.000 0.000
La 0.489 0.750 0.006
La 0.222 0.001 0.654
Dy 0.299 0.250 0.331
Dy 0.701 0.750 0.669
In 0.283 0.750 0.341
In 0.717 0.250 0.659
CELL_PARAMETERS angstrom
-5.658 -0.278 -2.749
0.474 -7.145 -0.252
-1.768 -0.430 8.873
```

***

[6]
DFT (PBE-GGA) results for Zn2CdH after structural relaxation. Values from VASP.

Calculated values
**SG**: I-42d, No. 122
**Offset from the most stable computed form**: 0.000 eV/f.u.

Structure (Quantum ESPRESSO input):
```
&SYSTEM
  ibrav = 0, nat = 8, ntyp = 3
/
ATOMIC_SPECIES
Zn 65.41 Zn.upf
Cd 112.41 Cd.upf
H 1.01 H.upf
ATOMIC_POSITIONS crystal
Zn 0.435 0.125 0.250
Zn 0.375 0.565 0.750
Zn 0.875 0.685 0.750
Zn 0.315 0.625 0.250
Cd 0.750 0.250 0.500
Cd 0.000 0.000 0.000
H 0.500 0.500 0.000
H 0.250 0.750 0.500
CELL_PARAMETERS angstrom
-4.202 2.423 -0.131
-2.194 -3.906 -1.864
-4.395 -2.537 4.175
```

***

| no. | total magnetization (μB per atom) |
| --- | --- |
| 1 | 0.472 |
| 2 | 0.000 |
| 3 | 0.000 |
| 4 | 0.000 |
| 5 | 0.000 |
| 6 | 0.000 |